# 1
First-principles (GGA-PBEsol) data for an optimized crystal structure of CrSi2Ag, as listed in Alexandria.

The structure belongs to space group I4/mmm (No. 139); the cell edges are 3.788, 3.788 and 7.462 Å and the angles 90.00°, 90.00° and 90.00°. The asymmetric unit holds Cr at (0.000, 0.000, 0.000), Si at (0.000, 0.500, 0.250) and Ag at (0.000, 0.000, 0.500).

For the formation energy (no corrections), the calculation gives 208 meV/atom. The energy above the lowest structure with this stoichiometry comes out at 0.0 meV/atom. The calculation puts the final energy at -0.2225 hartree per atom.

# 2
First-principles (GGA-PBEsol) data for an optimized crystal structure of K3Ag, as listed in Alexandria.

The structure belongs to space group P-6m2 (No. 187); the cell edges are 4.5582, 4.5582 and 11.8472 Å and the angles 90.00°, 90.00° and 120.00°. The asymmetric unit holds K at (0.0000, 0.0000, 0.0000), K at (0.3333, 0.6667, 0.3226) and Ag at (0.0000, 0.0000, 0.5000).

The energy above the lowest structure with this stoichiometry comes out at 60.5 meV/atom. The calculation puts the final energy at -0.0558 hartree per atom. As for the formation energy: 0.159 eV/atom.

# 3
First-principles (GGA-PBEsol) data for an optimized crystal structure of Ta2CrAg, as listed in Alexandria.

The structure belongs to space group F-43m (No. 216); the cell edges are 6.349, 6.349 and 6.349 Å and the angles 90.00°, 90.00° and 90.00°. The asymmetric unit holds Ta at (0.000, 0.000, 0.000), Ta at (0.250, 0.250, 0.250), Cr at (0.250, 0.250, 0.750) and Ag at (0.000, 0.000, 0.500).

The energy above the lowest structure with this stoichiometry comes out at 168.8 meV/atom. The calculation puts the final energy at -0.3385 hartree per atom. As for the formation energy: 0.453 eV/atom.